A relaxed SrMnSiO4 crystal. Source: Alexandria via LeMat-Bulk, functional GGA+U.

Lattice parameters (Å, degrees): 5.395 5.644 6.605 90.00 107.50 90.00
Each line ends with the local moment (μB).
Positions (direct):
Mn1 0.191 0.250 0.530  4.64
O1 0.439 0.750 0.168  0.02
Si1 0.741 0.250 0.669  0.00
Sr1 0.282 0.250 0.064  0.00
Mn2 0.809 0.750 0.470  4.64
O2 0.051 0.977 0.283  0.03
O3 0.452 0.750 0.572  0.04
O4 0.949 0.477 0.717  0.03
O5 0.051 0.523 0.283  0.03
O6 0.561 0.250 0.832  0.02
O7 0.949 0.023 0.717  0.03
Sr2 0.718 0.750 0.936  0.00
Si2 0.259 0.750 0.331  0.00
O8 0.548 0.250 0.428  0.04

Results
spin magnetization: 5.000 μB per formula unit
space group: P2_1/m (11)
energy: -7.4665 eV per atom